First-principles (PBE) data for an optimized crystal structure of KZn2Ru, as listed in Alexandria via LeMat-Bulk.

POSCAR file:
```
KZn2Ru
1.0
-3.266 -0.027 0.125
-0.076 -2.171 -2.450
0.162 -7.832 2.562
Zn K Ru
2 1 1
Direct
0.000 0.086 0.914
0.000 0.414 0.586
0.500 0.250 0.250
0.500 0.750 0.750
```

## Properties
Space-group type   P4/mmm, No. 123
N(E_F)   2.66 states/eV/f.u.
Magnetic moment   0.00 μB per cell
ΔH_f (0 K)   0.23 eV/atom
ΔE to the lowest computed polymorph   0.000 eV/atom

First-principles (PBE) data for an optimized crystal structure of KZn2Ru, as listed in Alexandria via LeMat-Bulk.

POSCAR file:
```
KZn2Ru
1.0
-0.717 -0.041 4.661
-3.836 -2.091 1.777
0.416 -4.030 2.415
Zn Ru K
2 1 1
Direct
0.000 0.000 0.000
0.250 0.250 0.250
0.750 0.750 0.750
0.500 0.500 0.500
```

## Properties
Space-group type   F-43m, No. 216
N(E_F)   2.86 states/eV/f.u.
Magnetic moment   0.00 μB per cell
ΔH_f (0 K)   0.87 eV/atom
ΔE to the lowest computed polymorph   0.639 eV/atom

First-principles (PBE) data for an optimized crystal structure of KZn2Ru, as listed in Alexandria via LeMat-Bulk.

POSCAR file:
```
KZn2Ru
1.0
4.722 -0.005 -0.018
3.911 2.646 -0.018
0.671 0.205 7.270
Zn K Ru
2 1 1
Direct
0.000 0.000 0.950
0.265 0.265 0.160
0.499 0.499 0.518
0.736 0.736 0.872
```

## Properties
Space-group type   Cm, No. 8
N(E_F)   2.47 states/eV/f.u.
Magnetic moment   0.00 μB per cell
ΔH_f (0 K)   0.40 eV/atom
ΔE to the lowest computed polymorph   0.166 eV/atom

First-principles (PBE) data for an optimized crystal structure of KZn2Ru, as listed in Alexandria via LeMat-Bulk.

POSCAR file:
```
KZn2Ru
1.0
10.249 0.045 0.027
9.829 2.902 0.027
9.829 1.443 2.518
K Ru Zn
1 1 2
Direct
0.250 0.250 0.250
0.750 0.750 0.750
0.014 0.014 0.014
0.486 0.486 0.486
```

## Properties
Space-group type   R-3m, No. 166
N(E_F)   2.19 states/eV/f.u.
Magnetic moment   0.00 μB per cell
ΔH_f (0 K)   0.44 eV/atom
ΔE to the lowest computed polymorph   0.215 eV/atom

First-principles (PBE) data for an optimized crystal structure of KZr2ZnRu, as listed in Alexandria via LeMat-Bulk.

POSCAR file:
```
KZr2ZnRu
1.0
-1.229 -4.582 -1.974
2.996 -2.087 2.978
-3.770 -0.478 3.458
Zr K Ru Zn
2 1 1 1
Direct
0.500 0.000 0.000
0.000 0.000 0.500
0.500 0.500 0.500
0.000 0.500 0.000
0.000 0.000 0.000
```

## Properties
Space-group type   P4/mmm, No. 123
N(E_F)   7.43 states/eV/f.u.
Magnetic moment   0.00 μB per cell
ΔH_f (0 K)   1.03 eV/atom

First-principles (PBE) data for an optimized crystal structure of KZrRu2, as listed in Alexandria via LeMat-Bulk.

POSCAR file:
```
KZrRu2
1.0
-1.114 2.137 4.382
3.586 -2.685 2.221
7.130 6.218 1.634
K Ru Zr
2 4 2
Direct
0.250 0.750 0.500
0.500 0.500 0.000
0.851 0.125 0.250
0.875 0.101 0.750
0.375 0.149 0.750
0.899 0.625 0.250
0.000 0.000 0.000
0.750 0.250 0.500
```

## Properties
Space-group type   I-42d, No. 122
N(E_F)   5.80 states/eV/f.u.
Magnetic moment   0.00 μB per cell
ΔH_f (0 K)   1.07 eV/atom
ΔE to the lowest computed polymorph   0.670 eV/atom

First-principles (PBE) data for an optimized crystal structure of KZrRu2, as listed in Alexandria via LeMat-Bulk.

POSCAR file:
```
KZrRu2
1.0
4.525 0.000 -0.001
3.459 2.918 -0.001
0.784 0.287 7.225
Ru K Zr
2 1 1
Direct
0.481 0.481 0.597
0.019 0.019 0.903
0.250 0.250 0.250
0.750 0.750 0.750
```

## Properties
Space-group type   C2/m, No. 12
N(E_F)   2.63 states/eV/f.u.
Magnetic moment   0.00 μB per cell
ΔH_f (0 K)   0.53 eV/atom
ΔE to the lowest computed polymorph   0.127 eV/atom

First-principles (PBE) data for an optimized crystal structure of KZrRu2, as listed in Alexandria via LeMat-Bulk.

POSCAR file:
```
KZrRu2
1.0
3.201 0.000 0.000
0.000 5.018 0.000
0.000 0.000 4.592
Ru K Zr
2 1 1
Direct
0.000 0.000 0.000
0.500 0.500 0.000
0.000 0.500 0.500
0.500 0.000 0.500
```

## Properties
Space-group type   Pmmm, No. 47
N(E_F)   3.88 states/eV/f.u.
Magnetic moment   0.48 μB per cell
ΔH_f (0 K)   1.06 eV/atom
ΔE to the lowest computed polymorph   0.653 eV/atom

First-principles (PBE) data for an optimized crystal structure of KZrRu2, as listed in Alexandria via LeMat-Bulk.

POSCAR file:
```
KZrRu2
1.0
5.518 0.013 0.000
2.619 4.857 0.000
-4.069 -2.435 2.823
Zr Ru K
1 2 1
Direct
0.500 0.500 0.000
0.000 0.000 0.000
0.250 0.750 0.500
0.750 0.250 0.500
```

## Properties
Space-group type   I-4m2, No. 119
N(E_F)   4.93 states/eV/f.u.
Magnetic moment   0.33 μB per cell
ΔH_f (0 K)   1.07 eV/atom
ΔE to the lowest computed polymorph   0.665 eV/atom

First-principles (PBE) data for an optimized crystal structure of KZrRu2, as listed in Alexandria via LeMat-Bulk.

POSCAR file:
```
KZrRu2
1.0
6.015 -0.012 -0.006
2.996 5.216 0.006
-3.724 -3.955 2.582
Zr Ru K
1 2 1
Direct
0.540 0.540 0.000
0.759 0.259 0.500
0.959 0.959 0.000
0.242 0.742 0.500
```

## Properties
Space-group type   Imm2, No. 44
N(E_F)   5.56 states/eV/f.u.
Magnetic moment   0.00 μB per cell
ΔH_f (0 K)   0.76 eV/atom
ΔE to the lowest computed polymorph   0.359 eV/atom

First-principles (PBE) data for an optimized crystal structure of KZrRu2, as listed in Alexandria via LeMat-Bulk.

POSCAR file:
```
KZrRu2
1.0
3.776 0.000 0.000
0.000 2.934 0.027
0.000 2.757 8.745
K Ru Zr
1 2 1
Direct
0.500 0.692 0.795
0.500 0.296 0.208
0.000 0.899 0.101
0.000 0.613 0.396
```

## Properties
Space-group type   Pm, No. 6
N(E_F)   4.04 states/eV/f.u.
Magnetic moment   0.22 μB per cell
ΔH_f (0 K)   0.42 eV/atom
ΔE to the lowest computed polymorph   0.014 eV/atom

First-principles (PBE) data for an optimized crystal structure of KZr4Ru, as listed in Alexandria via LeMat-Bulk.

POSCAR file:
```
KZr4Ru
1.0
1.023 -5.232 2.420
3.310 -0.402 4.812
-2.454 -1.381 5.133
Zr Ru K
4 1 1
Direct
0.372 0.372 0.372
0.884 0.372 0.372
0.372 0.884 0.372
0.372 0.372 0.884
0.000 0.000 0.000
0.750 0.750 0.750
```

## Properties
Space-group type   F-43m, No. 216
N(E_F)   10.55 states/eV/f.u.
Magnetic moment   0.00 μB per cell
ΔH_f (0 K)   0.94 eV/atom

First-principles (PBE) data for an optimized crystal structure of KZrRu2, as listed in Alexandria via LeMat-Bulk.

POSCAR file:
```
KZrRu2
1.0
3.271 0.000 0.000
0.000 3.271 0.000
0.000 0.000 8.145
Ru Zr K
2 1 1
Direct
0.000 0.000 0.430
0.000 0.000 0.070
0.500 0.500 0.250
0.500 0.500 0.750
```

## Properties
Space-group type   P4/mmm, No. 123
N(E_F)   4.50 states/eV/f.u.
Magnetic moment   0.91 μB per cell
ΔH_f (0 K)   0.40 eV/atom
ΔE to the lowest computed polymorph   0.000 eV/atom

First-principles (PBE) data for an optimized crystal structure of KZrRu2, as listed in Alexandria via LeMat-Bulk.

POSCAR file:
```
KZrRu2
1.0
-0.587 2.242 -4.089
1.964 -1.702 -3.916
-2.698 -1.893 -3.351
Zr Ru K
1 2 1
Direct
0.750 0.750 0.750
0.250 0.250 0.250
0.000 0.000 0.000
0.500 0.500 0.500
```

## Properties
Space-group type   F-43m, No. 216
N(E_F)   3.80 states/eV/f.u.
Magnetic moment   0.00 μB per cell
ΔH_f (0 K)   0.98 eV/atom
ΔE to the lowest computed polymorph   0.573 eV/atom

First-principles (PBE) data for an optimized crystal structure of KZrRu2, as listed in Alexandria via LeMat-Bulk.

POSCAR file:
```
KZrRu2
1.0
-3.530 1.626 1.720
-1.500 -1.554 3.661
2.465 4.958 5.545
Ru K Zr
2 1 1
Direct
0.056 0.056 0.831
0.723 0.723 0.831
0.273 0.273 0.185
0.448 0.448 0.653
```

## Properties
Space-group type   Cm, No. 8
N(E_F)   4.59 states/eV/f.u.
Magnetic moment   0.00 μB per cell
ΔH_f (0 K)   0.45 eV/atom
ΔE to the lowest computed polymorph   0.045 eV/atom

First-principles (PBE) data for an optimized crystal structure of K4ZrRu, as listed in Alexandria via LeMat-Bulk.

POSCAR file:
```
K4ZrRu
1.0
-6.521 -1.670 -0.037
-3.357 -0.590 5.805
-4.654 4.566 1.677
Ru K Zr
1 4 1
Direct
0.750 0.750 0.750
0.376 0.376 0.376
0.871 0.376 0.376
0.376 0.871 0.376
0.376 0.376 0.871
0.000 0.000 0.000
```

## Properties
Space-group type   F-43m, No. 216
N(E_F)   8.16 states/eV/f.u.
Magnetic moment   1.41 μB per cell
ΔH_f (0 K)   1.45 eV/atom

First-principles (PBE) data for an optimized crystal structure of KZrRu2, as listed in Alexandria via LeMat-Bulk.

POSCAR file:
```
KZrRu2
1.0
2.918 0.000 0.000
0.000 2.918 0.000
0.000 0.000 10.041
K Ru Zr
1 2 1
Direct
0.500 0.500 0.790
0.500 0.500 0.220
0.000 0.000 0.064
0.000 0.000 0.427
```

## Properties
Space-group type   P4mm, No. 99
N(E_F)   5.72 states/eV/f.u.
Magnetic moment   0.00 μB per cell
ΔH_f (0 K)   0.53 eV/atom
ΔE to the lowest computed polymorph   0.132 eV/atom

First-principles (PBE) data for an optimized crystal structure of KZrRu2, as listed in Alexandria via LeMat-Bulk.

POSCAR file:
```
KZrRu2
1.0
-3.410 4.877 2.899
-1.938 -5.205 -0.302
0.213 -0.473 2.600
Ru K Zr
2 1 1
Direct
0.500 0.000 0.500
0.000 0.000 0.000
0.500 0.500 0.000
0.000 0.500 0.500
```

## Properties
Space-group type   C2/m, No. 12
N(E_F)   3.99 states/eV/f.u.
Magnetic moment   0.00 μB per cell
ΔH_f (0 K)   0.93 eV/atom
ΔE to the lowest computed polymorph   0.532 eV/atom

First-principles (PBE) data for an optimized crystal structure of KZrRu2, as listed in Alexandria via LeMat-Bulk.

POSCAR file:
```
KZrRu2
1.0
0.000 3.350 3.350
3.350 0.000 3.350
3.350 3.350 0.000
Zr Ru K
1 2 1
Direct
0.500 0.500 0.500
0.250 0.250 0.250
0.750 0.750 0.750
0.000 0.000 0.000
```

## Properties
Space-group type   Fm-3m, No. 225
N(E_F)   4.66 states/eV/f.u.
Magnetic moment   0.00 μB per cell
ΔH_f (0 K)   0.84 eV/atom
ΔE to the lowest computed polymorph   0.437 eV/atom

First-principles (PBE) data for an optimized crystal structure of KZrRu2, as listed in Alexandria via LeMat-Bulk.

POSCAR file:
```
KZrRu2
1.0
-2.829 1.636 0.077
-0.874 -1.295 -4.553
-2.248 -3.961 1.558
Ru Zr K
2 1 1
Direct
0.000 0.000 0.000
0.000 0.500 0.500
0.500 0.500 0.000
0.500 0.000 0.500
```

## Properties
Space-group type   P4/mmm, No. 123
N(E_F)   6.28 states/eV/f.u.
Magnetic moment   0.49 μB per cell
ΔH_f (0 K)   0.91 eV/atom
ΔE to the lowest computed polymorph   0.509 eV/atom